Record 1
# SrIn2Pt, relaxed, DFT PBE
data_SrIn2Pt
_chemical_formula_sum 'Sr2 In4 Pt2'
_cell_length_a 10.0211
_cell_length_b 10.0211
_cell_length_c 10.0211
_cell_angle_alpha 149.84
_cell_angle_beta 149.84
_cell_angle_gamma 43.18
_symmetry_space_group_name_H-M 'P 1'
_symmetry_Int_Tables_number 1
loop_
_symmetry_equiv_pos_as_xyz
'x,y,z'
loop_
_atom_site_label
_atom_site_type_symbol
_atom_site_fract_x
_atom_site_fract_y
_atom_site_fract_z
Sr1 Sr 0.0000 0.0000 0.0000
Sr2 Sr 0.7500 0.2500 0.5000
In1 In 0.2823 0.6250 0.1573
In2 In 0.3750 0.5323 0.6573
In3 In 0.4677 0.1250 0.8427
In4 In 0.8750 0.7177 0.3427
Pt1 Pt 0.2500 0.7500 0.5000
Pt2 Pt 0.5000 0.5000 0.0000
# DOS at the Fermi energy: 0.416 states/eV/atom
# formation energy from the elements: -0.259 eV per atom

Record 2
# La4SnIrI2, relaxed, DFT PBE
data_La4SnIrI2
_chemical_formula_sum 'La4 Sn1 Ir1 I2'
_cell_length_a 7.9830
_cell_length_b 4.3973
_cell_length_c 8.3851
_cell_angle_alpha 90.00
_cell_angle_beta 107.05
_cell_angle_gamma 90.00
_symmetry_space_group_name_H-M 'P 1'
_symmetry_Int_Tables_number 1
loop_
_symmetry_equiv_pos_as_xyz
'x,y,z'
loop_
_atom_site_label
_atom_site_type_symbol
_atom_site_fract_x
_atom_site_fract_y
_atom_site_fract_z
La1 La 0.2110 0.0000 0.1935
La2 La 0.2311 0.5000 0.8026
La3 La 0.7689 0.5000 0.1974
La4 La 0.7890 0.0000 0.8065
Sn1 Sn 0.5000 0.0000 0.0000
Ir1 Ir 0.0000 0.5000 0.0000
I1 I 0.0000 0.0000 0.5000
I2 I 0.5000 0.5000 0.5000
# DOS at the Fermi energy: 0.807 states/eV/atom
# energy relative to the elements, uncorrected: -0.993 eV per atom

> Number 2 is which compound?

La4SnIrI2

> What is the DOS at the Fermi energy in the first record?

0.416 states/eV/atom

> Look up the DOS at the Fermi energy of the first one.

0.416 states/eV/atom